[1]
The following is a PBE-GGA calculation of a relaxed structure of Y2SbW, from the Alexandria database.

Cell lengths 3.804, 3.797, 7.644 Å; angles 60.21, 90.00, 90.00 degrees
Atoms (fractional coordinates):
Sb 0.500 0.250 0.250
W 0.500 0.750 0.750
Y 0.000 0.009 0.991
Y 0.000 0.491 0.509

Properties
As for the raw formation energy: -0.054 eV per atom. Its density of states at the Fermi level is 3.4 states/eV per cell. Its crystal system is tetragonal.

***

[2]
The following is a PBE-GGA calculation of a relaxed structure of LaFe2Os, from the Alexandria database.

Cell lengths 4.559, 4.559, 3.146 Å; angles 90.00, 90.00, 90.00 degrees
Site moments in Bohr magnetons follow the coordinates.
Atoms (fractional coordinates):
Fe 0.000 0.000 0.000  2.31
Fe 0.500 0.500 0.000  2.31
La 0.500 0.000 0.500  -0.26
Os 0.000 0.500 0.500  0.57

Properties
Its density of states at the Fermi level is 4.6 states/eV per cell. Its crystal system is tetragonal. The formation energy comes out at 500 meV/atom. The calculation puts the energy above the most stable polymorph in this dataset at 413 meV/atom.

***

[3]
The following is a PBE-GGA calculation of a relaxed structure of Sm6GeP4, from the Alexandria database.

Cell lengths 4.113, 7.054, 20.616 Å; angles 90.00, 90.00, 106.95 degrees
Site moments in Bohr magnetons follow the coordinates.
Atoms (fractional coordinates):
Sm 0.500 0.000 0.000  0.02
Sm 0.500 0.000 0.500  0.02
Sm 0.045 0.089 0.338  0.06
Sm 0.955 0.911 0.662  0.06
Sm 0.955 0.911 0.838  0.06
Sm 0.045 0.089 0.162  0.06
Sm 0.773 0.547 0.417  0.01
Sm 0.227 0.453 0.583  0.01
Sm 0.227 0.453 0.917  0.01
Sm 0.773 0.547 0.083  0.01
Sm 0.317 0.634 0.250  0.09
Sm 0.683 0.366 0.750  0.09
Ge 0.661 0.321 0.250  -0.01
Ge 0.339 0.679 0.750  -0.01
P 0.863 0.725 0.542  0.00
P 0.409 0.818 0.128  0.00
P 0.137 0.275 0.458  0.00
P 0.591 0.182 0.872  0.00
P 0.863 0.725 0.958  0.00
P 0.137 0.275 0.042  0.00
P 0.591 0.182 0.628  0.00
P 0.409 0.818 0.372  0.00

Properties
Its density of states at the Fermi level is 10.2 states/eV per cell. Its crystal system is orthorhombic. The formation energy comes out at -1337 meV/atom.